No. 1
YInAs2Se | PBE | optimized geometry

abc: 5.706 5.706 5.542
angles: 90.00 90.00 90.00
Each line ends with the local moment (μB).
Fractional positions:
Y 0.000 0.000 0.000  0.00
As 0.000 0.500 0.000  0.21
As 0.500 0.000 0.000  0.21
Se 0.000 0.000 0.500  0.11
In 0.500 0.500 0.500  0.02

Values from the calculation:
Total magnetic moment   0.23 μB/atom
Electronic total energy   -4.3755 eV/atom
V   180.45 Å³ per cell
E above lowest polymorph   0 meV/atom



No. 2
ThFeB2 | PBE | optimized geometry

abc: 3.518 3.518 5.275
angles: 70.52 70.52 60.00
Fractional positions:
B 0.309 0.309 0.073
B 0.691 0.691 0.927
Fe 0.000 0.000 0.000
Th 0.500 0.500 0.500

Values from the calculation:
Energy of formation from the pure elements   -0.228 eV/atom
Total magnetic moment   0.00 μB/atom
Electronic total energy   -7.5371 eV/atom
V   52.16 Å³ per cell
E above lowest polymorph   71 meV/atom



No. 3
NaCuF5 | PBE | optimized geometry

abc: 5.338 5.338 7.798
angles: 69.89 69.89 68.97
Fractional positions:
Na 0.518 0.482 0.250
Na 0.482 0.518 0.750
Cu 0.000 0.000 0.000
Cu 0.000 0.000 0.500
F 0.872 0.701 0.109
F 0.226 0.653 0.513
F 0.701 0.872 0.609
F 0.969 0.031 0.250
F 0.347 0.774 0.987
F 0.653 0.226 0.013
F 0.031 0.969 0.750
F 0.299 0.128 0.391
F 0.774 0.347 0.487
F 0.128 0.299 0.891

Values from the calculation:
Total magnetic moment   0.01 μB/atom
Electronic total energy   -3.7360 eV/atom
V   188.45 Å³ per cell



No. 4
Cs3KCa2Cl9 | PBE | optimized geometry

abc: 7.837 7.837 10.089
angles: 90.00 90.00 120.00
Each line ends with the local moment (μB).
Fractional positions:
Cs 0.333 0.667 0.678  0.00
Cs 0.000 0.000 0.000  0.00
Cs 0.667 0.333 0.322  0.00
K 0.000 0.000 0.500  0.00
Ca 0.333 0.667 0.154  0.00
Ca 0.667 0.333 0.846  0.00
Cl 0.826 0.174 0.687  0.12
Cl 0.826 0.653 0.687  0.12
Cl 0.347 0.174 0.687  0.12
Cl 0.653 0.826 0.313  0.12
Cl 0.174 0.347 0.313  0.12
Cl 0.174 0.826 0.313  0.12
Cl 0.500 0.000 0.000  0.03
Cl 0.000 0.500 0.000  0.03
Cl 0.500 0.500 0.000  0.03

Values from the calculation:
Total magnetic moment   0.08 μB/atom
Electronic total energy   -3.5967 eV/atom
V   536.65 Å³ per cell



No. 5
YTi2IrW | PBE | optimized geometry

abc: 4.680 5.234 4.680
angles: 90.00 90.00 90.00
Fractional positions:
Y 0.000 0.500 0.000
Ir 0.000 0.000 0.000
W 0.500 0.500 0.500
Ti 0.000 0.000 0.500
Ti 0.500 0.000 0.000

Values from the calculation:
Energy of formation from the pure elements   0.856 eV/atom
Total magnetic moment   0.00 μB/atom
Electronic total energy   -7.9574 eV/atom
V   114.67 Å³ per cell



No. 6
ZnSiTcRh | PBE | optimized geometry

abc: 4.228 4.228 4.228
angles: 60.00 60.00 60.00
Fractional positions:
Si 0.250 0.250 0.250
Zn 0.750 0.750 0.750
Rh 0.000 0.000 0.000
Tc 0.500 0.500 0.500

Values from the calculation:
Total magnetic moment   0.00 μB/atom
Electronic total energy   -6.4634 eV/atom
V   53.44 Å³ per cell



No. 7
La2Al3InCu4 | PBE | optimized geometry

abc: 4.364 4.364 10.342
angles: 90.00 90.00 90.00
Fractional positions:
La 0.500 0.000 0.237
La 0.000 0.500 0.763
Al 0.000 0.000 0.500
Al 0.500 0.000 0.881
Al 0.000 0.500 0.119
In 0.500 0.500 0.500
Cu 0.500 0.500 0.000
Cu 0.000 0.000 0.000
Cu 0.500 0.000 0.643
Cu 0.000 0.500 0.357

Values from the calculation:
Energy of formation from the pure elements   -0.364 eV/atom
Total magnetic moment   0.00 μB/atom
Electronic total energy   -4.3845 eV/atom
V   196.94 Å³ per cell



No. 8
RbHoIn2I6 | PBE | optimized geometry

abc: 8.649 8.649 9.109
angles: 61.64 61.64 59.98
Fractional positions:
Rb 0.817 0.817 0.550
Ho 0.327 0.326 0.021
In 0.518 0.518 0.444
In 0.008 0.008 0.976
I 0.557 0.233 0.237
I 0.233 0.973 0.237
I 0.973 0.558 0.237
I 0.396 0.694 0.771
I 0.694 0.138 0.771
I 0.138 0.396 0.771

Values from the calculation:
Total magnetic moment   0.00 μB/atom
Electronic total energy   -3.0674 eV/atom
V   493.34 Å³ per cell



No. 9
Ba3ScB | PBE | optimized geometry

abc: 5.984 5.984 5.984
angles: 90.00 90.00 90.00
Each line ends with the local moment (μB).
Fractional positions:
Sc 0.500 0.500 0.500  0.74
B 0.000 0.000 0.000  0.14
Ba 0.000 0.500 0.000  0.10
Ba 0.000 0.000 0.500  0.08
Ba 0.500 0.000 0.000  0.14

Values from the calculation:
Energy of formation from the pure elements   0.680 eV/atom
Total magnetic moment   0.54 μB/atom
Electronic total energy   -3.0757 eV/atom
V   214.29 Å³ per cell
E above lowest polymorph   0 meV/atom



No. 10
Nd4TlAu3 | PBE | optimized geometry

abc: 5.319 5.319 9.238
angles: 73.27 73.27 60.00
Fractional positions:
Au 0.258 0.258 0.227
Au 0.742 0.742 0.773
Au 0.500 0.500 0.500
Tl 0.000 0.000 0.000
Nd 0.871 0.871 0.388
Nd 0.381 0.381 0.858
Nd 0.129 0.129 0.612
Nd 0.619 0.619 0.142

Values from the calculation:
Energy of formation from the pure elements   -0.655 eV/atom
Total magnetic moment   0.00 μB/atom
Electronic total energy   -4.5640 eV/atom
V   213.47 Å³ per cell
E above lowest polymorph   3 meV/atom



No. 11
B3P2 | PBE | optimized geometry

abc: 6.321 3.045 5.974
angles: 90.00 104.30 90.00
Fractional positions:
P 0.147 0.000 0.519
P 0.147 0.500 0.019
P 0.570 0.000 0.266
P 0.570 0.500 0.766
B 0.878 0.000 0.270
B 0.878 0.500 0.770
B 0.463 0.000 0.565
B 0.463 0.500 0.065
B 0.005 0.000 0.762
B 0.005 0.500 0.262

Values from the calculation:
Energy of formation from the pure elements   0.165 eV/atom
Total magnetic moment   0.00 μB/atom
Electronic total energy   -6.0050 eV/atom
V   111.42 Å³ per cell
E above lowest polymorph   30 meV/atom



No. 12
Tl2GeC | PBE | optimized geometry

abc: 6.133 6.133 6.827
angles: 63.31 63.31 90.00
Fractional positions:
C 0.500 0.500 0.000
C 0.250 0.750 0.500
Tl 0.550 0.125 0.250
Tl 0.200 0.625 0.250
Tl 0.375 0.450 0.750
Tl 0.875 0.800 0.750
Ge 0.000 0.000 0.000
Ge 0.750 0.250 0.500

Values from the calculation:
Energy of formation from the pure elements   1.175 eV/atom
Total magnetic moment   0.00 μB/atom
Electronic total energy   -3.4681 eV/atom
V   198.31 Å³ per cell
E above lowest polymorph   0 meV/atom